Record 1
A plane-wave DFT calculation with PBE was carried out for an optimized crystal structure of Pm2Ge2H.

Properties
Its density of states at the Fermi level is 0.738 states/eV/atom. For the calculated total energy, the calculation gives -99.39 eV for the cell shown.

The structure in CIF format:
```
data_Pm2Ge2H
_chemical_formula_sum 'Pm8 Ge8 H4'
_cell_length_a 6.010
_cell_length_b 11.967
_cell_length_c 5.961
_cell_angle_alpha 90.00
_cell_angle_beta 90.00
_cell_angle_gamma 90.00
_symmetry_space_group_name_H-M 'I b a m'
_symmetry_Int_Tables_number 72
_symmetry_space_group_name_Hall '-I 2 2c'
loop_
_atom_site_label
_atom_site_fract_x
_atom_site_fract_y
_atom_site_fract_z
_atom_site_occupancy
Pm1 0.231 0.116 0.000 1
Ge1 0.223 0.362 0.000 1
H1 0.000 0.000 0.250 1
```


Record 2
A plane-wave DFT calculation with PBE was carried out for an optimized crystal structure of NaNd2Al.

Properties
Its density of states at the Fermi level is 0.854 states/eV/atom. Its energy of formation from the pure elements is -0.086 eV/atom. The polymorph energy (0 for the lowest one) is 0 meV/atom.

The structure in CIF format:
```
data_NaNd2Al
_chemical_formula_sum 'Na1 Nd2 Al1'
_cell_length_a 3.588
_cell_length_b 3.588
_cell_length_c 9.487
_cell_angle_alpha 90.00
_cell_angle_beta 90.00
_cell_angle_gamma 90.00
_symmetry_space_group_name_H-M 'P 4/m m m'
_symmetry_Int_Tables_number 123
_symmetry_space_group_name_Hall '-P 4 2'
loop_
_atom_site_label
_atom_site_fract_x
_atom_site_fract_y
_atom_site_fract_z
_atom_site_occupancy
Na1 0.000 0.000 0.000 1
Nd1 0.500 0.500 0.296 1
Al1 0.000 0.000 0.500 1
```


Record 3
A plane-wave DFT calculation with PBE was carried out for an optimized crystal structure of LaEuSiHg.

Properties
The calculation puts the energy relative to the elements, uncorrected at -0.481 eV/atom. Its density of states at the Fermi level is 0.713 states/eV/atom.

The structure in CIF format:
```
data_LaEuSiHg
_chemical_formula_sum 'La4 Eu4 Si4 Hg4'
_cell_length_a 7.589
_cell_length_b 7.589
_cell_length_c 7.589
_cell_angle_alpha 90.00
_cell_angle_beta 90.00
_cell_angle_gamma 90.00
_symmetry_space_group_name_H-M 'F -4 3 m'
_symmetry_Int_Tables_number 216
_symmetry_space_group_name_Hall 'F -4 2 3'
loop_
_atom_site_label
_atom_site_fract_x
_atom_site_fract_y
_atom_site_fract_z
_atom_site_occupancy
La1 0.000 0.000 0.000 1
Eu1 0.000 0.000 0.500 1
Si1 0.250 0.250 0.750 1
Hg1 0.250 0.250 0.250 1
```


Record 4
A plane-wave DFT calculation with PBE was carried out for an optimized crystal structure of YSiNi.

Properties
The calculation puts the energy relative to the elements, uncorrected at -0.429 eV/atom. Its density of states at the Fermi level is 0.734 states/eV/atom.

The structure in CIF format:
```
data_YSiNi
_chemical_formula_sum 'Y2 Si2 Ni2'
_cell_length_a 3.133
_cell_length_b 3.133
_cell_length_c 10.365
_cell_angle_alpha 90.00
_cell_angle_beta 90.00
_cell_angle_gamma 90.00
_symmetry_space_group_name_H-M 'I 4 m m'
_symmetry_Int_Tables_number 107
_symmetry_space_group_name_Hall 'I 4 -2'
loop_
_atom_site_label
_atom_site_fract_x
_atom_site_fract_y
_atom_site_fract_z
_atom_site_occupancy
Y1 0.000 0.000 0.000 1
Si1 0.000 0.000 0.295 1
Ni1 0.000 0.000 0.703 1
```


Record 5
A plane-wave DFT calculation with PBE was carried out for an optimized crystal structure of ScTi2Cr.

Properties
Its density of states at the Fermi level is 1.945 states/eV/atom. Its energy of formation from the pure elements is 0.248 eV/atom. The polymorph energy (0 for the lowest one) is 158 meV/atom.

The structure in CIF format:
```
data_ScTi2Cr
_chemical_formula_sum 'Sc4 Ti8 Cr4'
_cell_length_a 6.427
_cell_length_b 6.427
_cell_length_c 6.427
_cell_angle_alpha 90.00
_cell_angle_beta 90.00
_cell_angle_gamma 90.00
_symmetry_space_group_name_H-M 'F m -3 m'
_symmetry_Int_Tables_number 225
_symmetry_space_group_name_Hall '-F 4 2 3'
loop_
_atom_site_label
_atom_site_fract_x
_atom_site_fract_y
_atom_site_fract_z
_atom_site_occupancy
Sc1 0.000 0.000 0.000 1
Ti1 0.250 0.250 0.250 1
Cr1 0.000 0.000 0.500 1
```


Record 6
A plane-wave DFT calculation with PBE was carried out for an optimized crystal structure of InRuBr2.

Properties
The calculation puts the energy relative to the elements, uncorrected at 0.370 eV/atom. Its density of states at the Fermi level is 0.494 states/eV/atom. The polymorph energy (0 for the lowest one) is 455 meV/atom.

The structure in CIF format:
```
data_InRuBr2
_chemical_formula_sum 'In1 Ru1 Br2'
_cell_length_a 3.404
_cell_length_b 3.404
_cell_length_c 8.435
_cell_angle_alpha 90.00
_cell_angle_beta 90.00
_cell_angle_gamma 90.00
_symmetry_space_group_name_H-M 'P 4/m m m'
_symmetry_Int_Tables_number 123
_symmetry_space_group_name_Hall '-P 4 2'
loop_
_atom_site_label
_atom_site_fract_x
_atom_site_fract_y
_atom_site_fract_z
_atom_site_occupancy
In1 0.000 0.000 0.000 1
Ru1 0.000 0.000 0.500 1
Br1 0.500 0.500 0.300 1
```


Record 7
A plane-wave DFT calculation with PBE was carried out for an optimized crystal structure of Cs2TcGeC.

Properties
Its density of states at the Fermi level is 0.878 states/eV/atom. Its energy of formation from the pure elements is 1.259 eV/atom.

The structure in CIF format:
```
data_Cs2TcGeC
_chemical_formula_sum 'Cs2 Tc1 Ge1 C1'
_cell_length_a 6.434
_cell_length_b 6.434
_cell_length_c 3.828
_cell_angle_alpha 90.00
_cell_angle_beta 90.00
_cell_angle_gamma 90.00
_symmetry_space_group_name_H-M 'P 4/m m m'
_symmetry_Int_Tables_number 123
_symmetry_space_group_name_Hall '-P 4 2'
loop_
_atom_site_label
_atom_site_fract_x
_atom_site_fract_y
_atom_site_fract_z
_atom_site_occupancy
Cs1 0.000 0.500 0.000 1
Tc1 0.000 0.000 0.000 1
Ge1 0.500 0.500 0.500 1
C1 0.000 0.000 0.500 1
```


Record 8
A plane-wave DFT calculation with PBE was carried out for an optimized crystal structure of Nd3Y2Er6.

Properties
Its density of states at the Fermi level is 1.620 states/eV/atom. Its energy of formation from the pure elements is 0.278 eV/atom. The polymorph energy (0 for the lowest one) is 73 meV/atom.

The structure in CIF format:
```
data_Nd3Y2Er6
_chemical_formula_sum 'Nd6 Y4 Er12'
_cell_length_a 4.742
_cell_length_b 4.742
_cell_length_c 33.387
_cell_angle_alpha 90.00
_cell_angle_beta 90.00
_cell_angle_gamma 90.00
_symmetry_space_group_name_H-M 'I 4/m m m'
_symmetry_Int_Tables_number 139
_symmetry_space_group_name_Hall '-I 4 2'
loop_
_atom_site_label
_atom_site_fract_x
_atom_site_fract_y
_atom_site_fract_z
_atom_site_occupancy
Nd1 0.000 0.000 0.000 1
Nd2 0.000 0.000 0.204 1
Y1 0.000 0.000 0.453 1
Er1 0.000 0.000 0.307 1
Er2 0.000 0.500 0.122 1
```